LaNiSbAsPd | PBE-GGA | optimized geometry

```
LaNiSbAsPd
1.0
4.507 0.000 0.000
0.000 4.507 0.000
0.000 0.000 10.045
La Ni Sb As Pd
2 2 2 2 2
Direct
0.250 0.250 0.246 La
0.750 0.750 0.754 La
0.250 0.750 0.500 Ni
0.750 0.250 0.500 Ni
0.250 0.250 0.622 Sb
0.750 0.750 0.378 Sb
0.250 0.750 0.000 As
0.750 0.250 0.000 As
0.250 0.250 0.885 Pd
0.750 0.750 0.115 Pd
```

Calculated values
Size of the total moment   0.00 μB per cell
Calculated total energy   -5.72 eV/atom
Offset from the most stable computed form   84 meV/atom
Space-group type   P4/nmm